Entry 1:
DFT (PBE) results for a geometry-optimized Ba6Te3AsCl2 structure.

Cell and atoms, written as POSCAR:
```
Ba6Te3AsCl2
1.0
-4.313 6.731 2.600
-3.305 -7.685 0.826
5.814 -0.332 5.997
Te Ba As Cl
3 6 1 2
Cartesian
-1.234 4.103 5.296
-0.570 -5.389 4.127
-0.902 -0.643 4.711
-0.597 1.997 2.545
-1.207 -3.284 6.877
2.587 -0.479 5.363
-4.391 -0.807 4.060
-1.530 1.329 7.445
-0.275 -2.615 1.977
0.000 0.000 0.000
-3.976 1.913 2.007
-3.642 -2.867 1.419
```

## Properties
**Crystal system**: monoclinic
**Symmetry**: C2/m, No. 12
**E**: -4.207 eV per atom

Entry 2:
DFT (PBE) results for a geometry-optimized Ba4Te2AsCl structure.

Cell and atoms, written as POSCAR:
```
Ba4Te2AsCl
1.0
4.887 0.000 0.000
0.000 8.394 0.181
0.000 -2.902 7.921
Te Ba As Cl
2 4 1 1
Cartesian
2.444 -1.451 3.960
0.000 2.746 4.051
2.444 1.503 1.960
2.444 3.989 6.143
0.000 5.504 1.976
0.000 -0.012 6.126
2.444 4.197 0.091
0.000 0.000 0.000
```

## Properties
**Crystal system**: monoclinic
**Symmetry**: P2/m, No. 10
**E**: -4.272 eV per atom

no.,formation energy without anion corrections (eV/atom)
1,-1.7646
2,-1.7132